(1)
The following is a DFT calculation (PBE) of a relaxed structure of DyMg2Zn2Au2.

a b c (Å): 8.2389 8.2389 8.2389
angles (deg): 32.04 32.04 32.04
With the nearest neighbours (Å) after each atom.
Atoms (fractional coordinates):
1 Dy 0.0000 0.0000 0.0000  6 Zn 3.13, 2 Mg 3.14, 6 Au 3.21
2 Mg 0.1341 0.1341 0.1341  4 Au 2.83-2.93, 3 Zn 2.99, 3 Mg 3.04, 1 Dy 3.14
3 Mg 0.8659 0.8659 0.8659  4 Au 2.83-2.93, 3 Zn 2.99, 3 Mg 3.04, 1 Dy 3.14
4 Zn 0.4061 0.4061 0.4061  3 Au 2.63
5 Zn 0.5939 0.5939 0.5939  3 Au 2.63
6 Au 0.2549 0.2549 0.2549  3 Zn 2.63, 4 Mg 2.83-2.93
7 Au 0.7451 0.7451 0.7451  3 Zn 2.63, 4 Mg 2.83-2.93

Formation energy from the elements, eV/atom: -0.4910
Space-group type: R-3m (166)

(2)
The following is a DFT calculation (PBE) of a relaxed structure of AcNd2DySe4.

a b c (Å): 7.3093 4.1880 7.5270
angles (deg): 90.00 108.63 90.00
With the nearest neighbours (Å) after each atom.
Atoms (fractional coordinates):
1 Ac 0.0000 0.0000 0.0000  6 Se 3.07-3.08
2 Nd 0.5000 0.0000 0.5000  6 Se 2.95
3 Nd 0.5000 0.5000 0.0000  6 Se 3.08-3.09
4 Dy 0.0000 0.5000 0.5000  6 Se 2.94
5 Se 0.2436 0.0000 0.7342  2 Dy 2.94, 3 Nd 2.95-3.08, 1 Ac 3.07
6 Se 0.2543 0.5000 0.2658  1 Dy 2.94, 3 Nd 2.95-3.09, 2 Ac 3.08
7 Se 0.7457 0.5000 0.7342  1 Dy 2.94, 3 Nd 2.95-3.09, 2 Ac 3.08
8 Se 0.7564 0.0000 0.2658  2 Dy 2.94, 3 Nd 2.95-3.08, 1 Ac 3.07

Formation energy (no corrections), eV/f.u.: -14.382
Space-group type: P2/m (10)

(3)
The following is a DFT calculation (PBE) of a relaxed structure of Mg2VIr2.

a b c (Å): 6.3559 6.3559 4.2531
angles (deg): 90.00 90.00 90.00
With the nearest neighbours (Å) after each atom.
Atoms (fractional coordinates):
1 Mg 0.1717 0.3283 0.0000  6 Ir 2.73-2.90
2 Mg 0.3283 0.8283 0.0000  6 Ir 2.73-2.90
3 Mg 0.6717 0.1717 0.0000  6 Ir 2.73-2.90
4 Mg 0.8283 0.6717 0.0000  6 Ir 2.73-2.90
5 V 0.0000 0.0000 0.5000  4 Ir 2.46
6 V 0.5000 0.5000 0.5000  4 Ir 2.46
7 Ir 0.1373 0.6373 0.5000  2 V 2.46, 1 Ir 2.47, 2 Mg 2.73
8 Ir 0.3627 0.1373 0.5000  2 V 2.46, 1 Ir 2.47, 2 Mg 2.73
9 Ir 0.6373 0.8627 0.5000  2 V 2.46, 1 Ir 2.47, 2 Mg 2.73
10 Ir 0.8627 0.3627 0.5000  2 V 2.46, 1 Ir 2.47, 2 Mg 2.73

Formation energy from the elements, eV/atom: -0.2321
Space-group type: P4/mbm (127)

Copy entry 1 word for word.
The following is a DFT calculation (PBE) of a relaxed structure of DyMg2Zn2Au2.

a b c (Å): 8.2389 8.2389 8.2389
angles (deg): 32.04 32.04 32.04
With the nearest neighbours (Å) after each atom.
Atoms (fractional coordinates):
1 Dy 0.0000 0.0000 0.0000  6 Zn 3.13, 2 Mg 3.14, 6 Au 3.21
2 Mg 0.1341 0.1341 0.1341  4 Au 2.83-2.93, 3 Zn 2.99, 3 Mg 3.04, 1 Dy 3.14
3 Mg 0.8659 0.8659 0.8659  4 Au 2.83-2.93, 3 Zn 2.99, 3 Mg 3.04, 1 Dy 3.14
4 Zn 0.4061 0.4061 0.4061  3 Au 2.63
5 Zn 0.5939 0.5939 0.5939  3 Au 2.63
6 Au 0.2549 0.2549 0.2549  3 Zn 2.63, 4 Mg 2.83-2.93
7 Au 0.7451 0.7451 0.7451  3 Zn 2.63, 4 Mg 2.83-2.93

Formation energy from the elements, eV/atom: -0.4910
Space-group type: R-3m (166)